Material: VP4O12
Method: DFT, PBE+U
State: relaxed

POSCAR file:
```
VP4O12
1.0
13.666 0.000 0.000
0.000 5.203 0.113
0.000 1.270 7.284
P O V
8 24 2
Direct
0.370 0.017 0.437 P
0.325 0.781 0.124 P
0.094 0.977 0.567 P
0.594 0.023 0.433 P
0.870 0.983 0.563 P
0.825 0.219 0.876 P
0.179 0.126 0.901 P
0.679 0.874 0.099 P
0.483 0.945 0.469 O
0.609 0.037 0.218 O
0.722 0.645 0.243 O
0.611 0.289 0.480 O
0.852 0.971 0.777 O
0.410 0.629 0.086 O
0.983 0.055 0.531 O
0.353 0.282 0.485 O
0.910 0.371 0.914 O
0.243 0.635 0.251 O
0.772 0.073 0.059 O
0.111 0.711 0.520 O
0.152 0.202 0.459 O
0.853 0.718 0.515 O
0.222 0.355 0.757 O
0.130 0.180 0.065 O
0.743 0.365 0.749 O
0.272 0.927 0.941 O
0.630 0.820 0.935 O
0.314 0.790 0.550 O
0.352 0.029 0.223 O
0.109 0.963 0.782 O
0.814 0.210 0.450 O
0.652 0.798 0.541 O
0.732 0.503 0.497 V
0.232 0.497 0.503 V
```

Summary:
**Energy relative to the lowest polymorph listed for this composition**: 6.2 meV/atom
**V**: 516 Å³/cell
**Total magnetization**: 0.90 μB per formula unit